1.
DFT (PBEsol) results for a relaxed Cs3AuS crystal.

ΔE_f (raw) in eV/atom: -0.276
Crystal system: cubic

a b c (Å): 6.3152 6.3152 6.3152
angles (deg): 90.00 90.00 90.00
Space group Pm-3m (No. 221)
Asymmetric unit:
Cs 0.0000 0.0000 0.5000 (multiplicity 3)
Au 0.0000 0.0000 0.0000 (multiplicity 1)
S 0.5000 0.5000 0.5000 (multiplicity 1)

2.
DFT (PBEsol) results for a relaxed Cs2SnAu2S4 crystal.

ΔE_f (raw) in eV/atom: -0.701
Crystal system: orthorhombic

a b c (Å): 6.1273 14.0877 24.2285
angles (deg): 90.00 90.00 90.00
Space group Fddd (No. 70, origin choice 2)
Asymmetric unit:
Cs 0.1250 0.1250 0.3072 (multiplicity 16)
Sn 0.1250 0.1250 0.1250 (multiplicity 8)
Au 0.1250 0.1250 0.5610 (multiplicity 16)
S 0.0866 0.2713 0.4350 (multiplicity 32)

3.
DFT (PBEsol) results for a relaxed CsSb3Au crystal.

ΔE_f (raw) in eV/atom: 0.195
Crystal system: cubic

a b c (Å): 5.5061 5.5061 5.5061
angles (deg): 90.00 90.00 90.00
Space group Pm-3m (No. 221)
Asymmetric unit:
Cs 0.0000 0.0000 0.0000 (multiplicity 1)
Sb 0.0000 0.5000 0.5000 (multiplicity 3)
Au 0.5000 0.5000 0.5000 (multiplicity 1)

4.
DFT (PBEsol) results for a relaxed CsSbAu3 crystal.

ΔE_f (raw) in eV/atom: -0.041
Crystal system: cubic

a b c (Å): 5.3184 5.3184 5.3184
angles (deg): 90.00 90.00 90.00
Space group Pm-3m (No. 221)
Asymmetric unit:
Cs 0.0000 0.0000 0.0000 (multiplicity 1)
Sb 0.5000 0.5000 0.5000 (multiplicity 1)
Au 0.0000 0.5000 0.5000 (multiplicity 3)

5.
DFT (PBEsol) results for a relaxed CsAuSe crystal.

ΔE_f (raw) in eV/atom: -0.713
Crystal system: orthorhombic

a b c (Å): 7.1264 8.6078 6.8581
angles (deg): 90.00 90.00 90.00
Space group Cmcm (No. 63)
Asymmetric unit:
Cs 0.0000 0.1321 0.2500 (multiplicity 4)
Au 0.0000 0.5000 0.0000 (multiplicity 4)
Se 0.0000 0.3013 0.7500 (multiplicity 4)

6.
DFT (PBEsol) results for a relaxed Cs2AuSe2 crystal.

ΔE_f (raw) in eV/atom: -0.633
Crystal system: tetragonal

a b c (Å): 7.0242 7.0242 10.3223
angles (deg): 90.00 90.00 90.00
Space group I4/mmm (No. 139)
Asymmetric unit:
Cs 0.0000 0.5000 0.2500 (multiplicity 4)
Au 0.0000 0.0000 0.0000 (multiplicity 2)
Se 0.0000 0.0000 0.2282 (multiplicity 4)

7.
DFT (PBEsol) results for a relaxed CsSiAu3 crystal.

ΔE_f (raw) in eV/atom: -0.272
Crystal system: monoclinic

a b c (Å): 11.2930 7.3448 7.3563
angles (deg): 90.00 122.15 90.00
Space group C2/m (No. 12)
Asymmetric unit:
Cs 0.1720 0.0000 0.0050 (multiplicity 4)
Si 0.1644 0.5000 0.3782 (multiplicity 4)
Au 0.0000 0.5000 0.0000 (multiplicity 2)
Au 0.0000 0.5000 0.5000 (multiplicity 2)
Au 0.1261 0.1858 0.5013 (multiplicity 8)

8.
DFT (PBEsol) results for a relaxed Cs2Sn2Au crystal.

Energy of formation in eV/atom: 0.030
Crystal system: tetragonal

a b c (Å): 7.4721 7.4721 7.9424
angles (deg): 90.00 90.00 90.00
Space group I4/mmm (No. 139)
Asymmetric unit:
Cs 0.0000 0.5000 0.2500 (multiplicity 4)
Sn 0.0000 0.0000 0.1663 (multiplicity 4)
Au 0.0000 0.0000 0.5000 (multiplicity 2)

9.
DFT (PBEsol) results for a relaxed CsSr3Au crystal.

Energy of formation in eV/atom: -0.247
Crystal system: cubic

a b c (Å): 6.2361 6.2361 6.2361
angles (deg): 90.00 90.00 90.00
Space group Pm-3m (No. 221)
Asymmetric unit:
Cs 0.0000 0.0000 0.0000 (multiplicity 1)
Sr 0.0000 0.5000 0.5000 (multiplicity 3)
Au 0.5000 0.5000 0.5000 (multiplicity 1)

10.
DFT (PBEsol) results for a relaxed CsTa3Au crystal.

Energy of formation in eV/atom: 2.079
Crystal system: cubic

a b c (Å): 5.0666 5.0666 5.0666
angles (deg): 90.00 90.00 90.00
Space group Pm-3m (No. 221)
Asymmetric unit:
Cs 0.0000 0.0000 0.0000 (multiplicity 1)
Ta 0.0000 0.5000 0.5000 (multiplicity 3)
Au 0.5000 0.5000 0.5000 (multiplicity 1)

11.
DFT (PBEsol) results for a relaxed CsTa3Au crystal.

Energy of formation in eV/atom: 3.143
Crystal system: cubic

a b c (Å): 4.9210 4.9210 4.9210
angles (deg): 90.00 90.00 90.00
Space group Pm-3m (No. 221)
Asymmetric unit:
Cs 0.0000 0.0000 0.0000 (multiplicity 1)
Ta 0.0000 0.0000 0.5000 (multiplicity 3)
Au 0.5000 0.5000 0.5000 (multiplicity 1)

12.
DFT (PBEsol) results for a relaxed Cs2TeAu2 crystal.

ΔE_f (raw) in eV/atom: -0.464
Crystal system: tetragonal

a b c (Å): 6.9314 6.9314 7.8856
angles (deg): 90.00 90.00 90.00
Space group I4/mmm (No. 139)
Asymmetric unit:
Cs 0.0000 0.5000 0.2500 (multiplicity 4)
Te 0.0000 0.0000 0.0000 (multiplicity 2)
Au 0.0000 0.0000 0.3384 (multiplicity 4)

13.
DFT (PBEsol) results for a relaxed CsTeAu crystal.

ΔE_f (raw) in eV/atom: -0.655
Crystal system: orthorhombic

a b c (Å): 5.8635 5.3978 7.2439
angles (deg): 90.00 90.00 90.00
Space group Pmma (No. 51)
Asymmetric unit:
Cs 0.2500 0.0000 0.2129 (multiplicity 2)
Te 0.2500 0.5000 0.7989 (multiplicity 2)
Au 0.0000 0.5000 0.5000 (multiplicity 2)

Magnetic moment in μB/f.u., matching the order above: 0.096; 0.000; 0.001; 0.000; 0.000; 0.064; 0.000; 0.000; 0.000; 0.002; 0.001; 0.000; 0.000
Calculated density in kg/m³, matching the order above: 4139; 5759; 6915; 9333; 6455; 4048; 9667; 5244; 4059; 11142; 12161; 6902; 6627